Below is a relaxed structure of BaIn2Te2, with properties calculated at the PBE-GGA level.

Results
Formation energy without anion corrections   -0.6656 eV/atom
DFT total energy   -3.402 eV/atom

a b c (Å): 4.5355 4.5355 17.4827
angles (deg): 90.00 90.00 90.00
Space group I4/mmm (No. 139)
Unique sites:
Ba (0.0000, 0.0000, 0.0000) x2
In (0.0000, 0.5000, 0.2500) x4
Te (0.0000, 0.0000, 0.4021) x4